# 1
This record from Alexandria via LeMat-Bulk describes a relaxed structure of PrSmYEr. The functional is PBE.

The structure in extended XYZ format:
```
4
Lattice="-2.557 2.557 5.075 2.557 -2.557 5.075 2.557 2.557 -5.075" Properties=species:S:1:pos:R:3 pbc="T T T"
Pr 0.000 0.000 0.000
Sm 2.557 0.000 2.537
Y 0.000 2.557 2.537
Er 0.000 0.000 5.075
```

Summary:
For the mass density, the calculation gives 6.85 g/cm3. The value obtained for the total DFT energy (no corrections) is -20.44 eV per cell. The total moment is 0.000 μB/atom. The density of states at the Fermi level is 5.786 states/eV per cell. The formation energy is 0.02 eV per atom.

---

# 2
This record from Alexandria via LeMat-Bulk describes a relaxed structure of Pr6Sm3Y2Er. The functional is PBE.

The structure in extended XYZ format:
```
12
Lattice="3.174 -5.499 0.000 3.174 5.499 0.000 -2.112 0.000 11.813" Properties=species:S:1:pos:R:3 pbc="T T T"
Pr 0.002 1.827 8.833
Pr 1.050 0.000 2.978
Pr 0.002 -1.827 8.833
Pr 4.233 1.827 2.980
Pr 3.185 0.000 8.835
Pr 4.233 -1.827 2.980
Sm 3.174 3.666 0.000
Sm 3.174 0.000 0.000
Sm 3.174 -3.666 0.000
Y 2.118 1.833 5.907
Y 2.118 -1.833 5.907
Er -1.056 0.000 5.907
```

Summary:
For the mass density, the calculation gives 6.61 g/cm3. The value obtained for the total DFT energy (no corrections) is -60.20 eV per cell. The total moment is 0.000 μB/atom. The density of states at the Fermi level is 14.624 states/eV per cell. The formation energy is 0.01 eV per atom.

---

# 3
This record from Alexandria via LeMat-Bulk describes a relaxed structure of PrSmY2Er. The functional is PBE.

The structure in extended XYZ format:
```
10
Lattice="4.241 -5.782 0.000 4.241 5.782 0.000 0.000 0.000 7.221" Properties=species:S:1:pos:R:3 pbc="T T T"
Pr 4.241 3.118 5.415
Pr 4.241 -3.118 1.805
Sm 4.241 0.032 5.415
Sm 4.241 -0.032 1.805
Y 1.595 0.000 0.000
Y 1.595 0.000 3.610
Y 6.886 0.000 0.000
Y 6.886 0.000 3.610
Er 4.241 3.199 1.805
Er 4.241 -3.199 5.415
```

Summary:
For the mass density, the calculation gives 5.97 g/cm3. The value obtained for the total DFT energy (no corrections) is -50.12 eV per cell. The total moment is 0.000 μB/atom. The density of states at the Fermi level is 16.400 states/eV per cell. The formation energy is 0.39 eV per atom.

---

# 4
This record from Alexandria via LeMat-Bulk describes a relaxed structure of Pr6SmY3Er2. The functional is PBE.

The structure in extended XYZ format:
```
12
Lattice="3.161 -5.476 0.000 3.161 5.476 0.000 -2.104 0.000 11.739" Properties=species:S:1:pos:R:3 pbc="T T T"
Pr -0.002 1.829 8.813
Pr 1.054 0.000 2.924
Pr -0.002 -1.829 8.813
Pr 4.221 1.829 2.926
Pr 3.164 0.000 8.815
Pr 4.221 -1.829 2.926
Sm 3.161 0.000 0.000
Y -1.052 0.000 5.870
Y 2.109 1.826 5.870
Y 2.109 -1.826 5.870
Er 3.161 3.651 0.000
Er 3.161 -3.651 0.000
```

Summary:
For the mass density, the calculation gives 6.52 g/cm3. The value obtained for the total DFT energy (no corrections) is -61.80 eV per cell. The total moment is 0.000 μB/atom. The density of states at the Fermi level is 13.691 states/eV per cell. The formation energy is 0.01 eV per atom.

---

# 5
This record from Alexandria via LeMat-Bulk describes a relaxed structure of Pr6Sm3YEr2. The functional is PBE.

The structure in extended XYZ format:
```
12
Lattice="3.170 -5.492 0.000 3.170 5.492 0.000 -2.111 0.000 11.793" Properties=species:S:1:pos:R:3 pbc="T T T"
Pr -0.008 1.837 8.879
Pr 1.055 0.000 2.914
Pr -0.008 -1.837 8.879
Pr 4.236 1.837 2.914
Pr 3.173 0.000 8.878
Pr 4.236 -1.837 2.914
Sm -1.056 0.000 5.896
Sm 2.114 1.832 5.896
Sm 2.114 -1.832 5.896
Y 3.170 0.000 0.000
Er 3.170 3.662 0.000
Er 3.170 -3.662 0.000
```

Summary:
For the mass density, the calculation gives 6.95 g/cm3. The value obtained for the total DFT energy (no corrections) is -58.28 eV per cell. The total moment is 0.000 μB/atom. The density of states at the Fermi level is 14.331 states/eV per cell. The formation energy is 0.01 eV per atom.

---

# 6
This record from Alexandria via LeMat-Bulk describes a relaxed structure of PrSm2Y5Er. The functional is PBE.

The structure in extended XYZ format:
```
18
Lattice="-4.416 4.416 7.657 4.416 -4.416 7.657 4.416 4.416 -7.657" Properties=species:S:1:pos:R:3 pbc="T T T"
Pr 0.000 0.000 3.829
Pr 0.000 0.000 11.486
Sm 5.433 1.018 0.000
Sm 1.018 3.398 0.000
Sm 3.398 1.018 7.657
Sm -1.018 3.398 7.657
Y 0.000 0.000 0.000
Y 2.581 1.835 -2.076
Y 2.581 -1.835 5.582
Y 2.581 1.835 2.076
Y 2.581 -1.835 9.733
Y 0.000 0.000 7.657
Y 1.835 6.250 -2.076
Y 1.835 2.581 5.582
Y 1.835 6.250 2.076
Y 1.835 2.581 9.733
Er 4.416 0.000 3.829
Er 0.000 4.416 3.829
```

Summary:
For the mass density, the calculation gives 5.86 g/cm3. The value obtained for the total DFT energy (no corrections) is -97.58 eV per cell. The total moment is 0.000 μB/atom. The density of states at the Fermi level is 21.517 states/eV per cell. The formation energy is 0.26 eV per atom.

---

# 7
This record from Alexandria via LeMat-Bulk describes a relaxed structure of Pr2SmY6Er. The functional is PBE.

The structure in extended XYZ format:
```
20
Lattice="4.560 -7.540 0.000 4.560 7.540 0.000 -1.675 0.000 9.696" Properties=species:S:1:pos:R:3 pbc="T T T"
Pr 2.143 0.744 0.431
Pr 1.305 -0.744 5.279
Pr 6.139 0.744 4.417
Pr 5.301 -0.744 9.265
Sm 4.141 7.281 2.424
Sm 3.303 -7.281 7.272
Y 2.388 4.191 1.811
Y 3.001 4.675 5.402
Y 3.605 4.675 9.142
Y 3.026 1.581 3.710
Y 5.894 4.191 3.037
Y 5.255 1.581 1.138
Y 2.189 -1.581 8.558
Y 1.551 -4.191 6.659
Y 4.418 -1.581 5.986
Y 3.839 -4.675 0.554
Y 4.443 -4.675 4.294
Y 5.056 -4.191 7.885
Er 3.303 1.415 7.272
Er 4.141 -1.415 2.424
```

Summary:
For the mass density, the calculation gives 5.64 g/cm3. The value obtained for the total DFT energy (no corrections) is -113.03 eV per cell. The total moment is 0.000 μB/atom. The density of states at the Fermi level is 28.996 states/eV per cell. The formation energy is 0.11 eV per atom.

---

# 8
This record from Alexandria via LeMat-Bulk describes a relaxed structure of Pr2SmY6Er3. The functional is PBE.

The structure in extended XYZ format:
```
12
Lattice="3.108 -5.379 0.000 3.108 5.379 0.000 -2.065 0.000 11.669" Properties=species:S:1:pos:R:3 pbc="T T T"
Pr 3.108 3.586 0.000
Pr 3.108 -3.586 0.000
Sm 3.108 0.000 0.000
Y 0.005 1.791 8.701
Y 1.042 0.000 2.969
Y 0.005 -1.791 8.701
Y 4.146 1.791 2.968
Y 3.108 0.000 8.700
Y 4.146 -1.791 2.968
Er -1.033 0.000 5.835
Er 2.075 1.792 5.835
Er 2.075 -1.792 5.835
```

Summary:
For the mass density, the calculation gives 6.25 g/cm3. The value obtained for the total DFT energy (no corrections) is -66.49 eV per cell. The total moment is 0.000 μB/atom. The density of states at the Fermi level is 17.458 states/eV per cell. The formation energy is 0.02 eV per atom.

---

# 9
This record from Alexandria via LeMat-Bulk describes a relaxed structure of Pr6SmY2Er3. The functional is PBE.

The structure in extended XYZ format:
```
12
Lattice="3.157 -5.468 0.000 3.157 5.468 0.000 -2.100 0.000 11.715" Properties=species:S:1:pos:R:3 pbc="T T T"
Pr 0.003 1.821 8.817
Pr 1.051 0.000 2.901
Pr 0.003 -1.821 8.817
Pr 4.212 1.821 2.898
Pr 3.163 0.000 8.814
Pr 4.212 -1.821 2.898
Sm -1.050 0.000 5.857
Y 2.107 1.822 5.857
Y 2.107 -1.822 5.857
Er 3.157 3.645 0.000
Er 3.157 0.000 0.000
Er 3.157 -3.645 0.000
```

Summary:
For the mass density, the calculation gives 6.88 g/cm3. The value obtained for the total DFT energy (no corrections) is -59.88 eV per cell. The total moment is 0.000 μB/atom. The density of states at the Fermi level is 13.278 states/eV per cell. The formation energy is 0.01 eV per atom.

---

# 10
This record from Alexandria via LeMat-Bulk describes a relaxed structure of PrSmY5Er2. The functional is PBE.

The structure in extended XYZ format:
```
18
Lattice="2.825 -10.039 0.000 2.825 10.039 0.000 0.000 0.000 10.580" Properties=species:S:1:pos:R:3 pbc="T T T"
Pr 2.825 6.054 5.290
Pr 2.825 -6.054 0.000
Sm 2.825 1.694 9.877
Sm 2.825 -1.694 4.587
Y 2.825 9.710 5.400
Y 2.825 4.426 8.468
Y 2.825 4.023 2.035
Y 2.825 2.211 5.405
Y 2.825 0.451 2.348
Y 2.825 -0.451 7.638
Y 2.825 -2.211 0.115
Y 2.825 -4.023 7.325
Y 2.825 -4.426 3.178
Y 2.825 -9.710 0.110
Er 2.825 7.826 2.342
Er 2.825 7.774 8.530
Er 2.825 -7.774 3.240
Er 2.825 -7.826 7.632
```

Summary:
For the mass density, the calculation gives 5.92 g/cm3. The value obtained for the total DFT energy (no corrections) is -99.04 eV per cell. The total moment is 0.000 μB/atom. The density of states at the Fermi level is 30.305 states/eV per cell. The formation energy is 0.16 eV per atom.

---

# 11
This record from Alexandria via LeMat-Bulk describes a relaxed structure of Pr2SmY4Er2. The functional is PBE.

The structure in extended XYZ format:
```
9
Lattice="6.029 0.000 0.000 2.783 6.048 0.000 2.886 0.257 8.186" Properties=species:S:1:pos:R:3 pbc="T T T"
Pr 3.276 2.038 2.818
Pr 8.422 4.267 5.369
Sm 3.014 0.000 0.000
Y 3.243 0.980 6.224
Y 5.622 3.714 7.242
Y 6.075 2.591 0.945
Y 8.454 5.325 1.962
Er 5.364 4.753 3.656
Er 6.334 1.552 4.530
```

Summary:
For the mass density, the calculation gives 6.24 g/cm3. The value obtained for the total DFT energy (no corrections) is -48.55 eV per cell. The total moment is 0.000 μB/atom. The density of states at the Fermi level is 14.477 states/eV per cell. The formation energy is 0.08 eV per atom.

---

# 12
This record from Alexandria via LeMat-Bulk describes a relaxed structure of Pr3SmY2Er6. The functional is PBE.

The structure in extended XYZ format:
```
12
Lattice="3.107 -5.379 0.000 3.107 5.379 0.000 -2.065 0.000 11.619" Properties=species:S:1:pos:R:3 pbc="T T T"
Pr 0.000 0.000 0.000
Pr 3.107 1.795 0.000
Pr 3.107 -1.795 0.000
Sm 2.075 0.000 5.809
Y 2.075 3.585 5.809
Y 2.075 -3.585 5.809
Er 1.037 1.791 2.937
Er 0.008 0.000 8.683
Er 1.037 -1.791 2.937
Er 3.112 1.791 8.682
Er 4.141 0.000 2.936
Er 3.112 -1.791 8.682
```

Summary:
For the mass density, the calculation gives 7.50 g/cm3. The value obtained for the total DFT energy (no corrections) is -59.11 eV per cell. The total moment is 0.000 μB/atom. The density of states at the Fermi level is 15.491 states/eV per cell. The formation energy is 0.02 eV per atom.